Record 1
The following is a DFT calculation (GGA-PBE) of LiTlIn2 after structural relaxation.

abc: 3.959 3.959 6.426
angles: 90.37 90.37 89.62
Fractional positions:
Li  0.000  0.000  0.000
Tl  0.000  0.000  0.500
In  0.497  0.497  0.237
In  0.503  0.503  0.763

Values from the calculation:
Total magnetization ... 0.0 Bohr magnetons per cell
Fermi-level density of states ... 1.6 states/eV per cell
Formation enthalpy at 0 K ... -0.069 eV/atom



Record 2
The following is a DFT calculation (GGA-PBE) of LiTl3In after structural relaxation.

abc: 5.228 5.228 5.228
angles: 90.00 90.00 90.00
Fractional positions:
Li  0.000  0.000  0.000
Tl  0.000  0.000  0.500
Tl  0.000  0.500  0.000
Tl  0.500  0.000  0.000
In  0.500  0.500  0.500

Values from the calculation:
Total magnetization ... 0.0 Bohr magnetons per cell
Fermi-level density of states ... 1.8 states/eV per cell
Energy relative to the lowest polymorph listed for this composition ... 158 meV per atom
Formation enthalpy at 0 K ... 0.090 eV/atom



Record 3
The following is a DFT calculation (GGA-PBE) of LiTlIn2 after structural relaxation.

abc: 3.627 4.104 6.663
angles: 90.00 90.00 90.00
Fractional positions:
Li  0.000  0.000  0.000
Tl  0.500  0.500  0.242
In  0.000  0.000  0.516
In  0.500  0.500  0.766

Values from the calculation:
Total magnetization ... 0.0 Bohr magnetons per cell
Fermi-level density of states ... 1.2 states/eV per cell
Formation enthalpy at 0 K ... -0.096 eV/atom



Record 4
The following is a DFT calculation (GGA-PBE) of LiTlIn4 after structural relaxation.

abc: 3.286 3.286 14.119
angles: 90.00 90.00 90.00
Fractional positions:
Li  0.000  0.000  0.000
Tl  0.500  0.500  0.500
In  0.000  0.000  0.308
In  0.000  0.000  0.692
In  0.500  0.500  0.134
In  0.500  0.500  0.866

Values from the calculation:
Total magnetization ... 0.0 Bohr magnetons per cell
Fermi-level density of states ... 1.1 states/eV per cell
Energy relative to the lowest polymorph listed for this composition ... 0 meV per atom
Formation enthalpy at 0 K ... -0.083 eV/atom



Record 5
The following is a DFT calculation (GGA-PBE) of LiTlIn3 after structural relaxation.

abc: 6.983 6.983 5.919
angles: 90.00 90.00 104.88
Fractional positions:
Li  0.233  0.767  0.750
Li  0.767  0.233  0.250
Tl  0.460  0.540  0.250
Tl  0.540  0.460  0.750
In  0.000  0.000  0.000
In  0.000  0.000  0.500
In  0.014  0.608  0.250
In  0.392  0.986  0.250
In  0.608  0.014  0.750
In  0.986  0.392  0.750

Values from the calculation:
Total magnetization ... 0.0 Bohr magnetons per cell
Fermi-level density of states ... 4.7 states/eV per cell
Energy relative to the lowest polymorph listed for this composition ... 21 meV per atom
Formation enthalpy at 0 K ... 0.030 eV/atom



Record 6
The following is a DFT calculation (GGA-PBE) of LiTl2In2 after structural relaxation.

abc: 8.254 8.254 4.185
angles: 90.00 90.00 90.00
Fractional positions:
Li  0.000  0.000  0.000
Li  0.500  0.500  0.000
Tl  0.165  0.335  0.500
Tl  0.335  0.835  0.500
Tl  0.665  0.165  0.500
Tl  0.835  0.665  0.500
In  0.137  0.637  0.000
In  0.363  0.137  0.000
In  0.637  0.863  0.000
In  0.863  0.363  0.000

Values from the calculation:
Total magnetization ... 0.0 Bohr magnetons per cell
Fermi-level density of states ... 4.1 states/eV per cell
Energy relative to the lowest polymorph listed for this composition ... 68 meV per atom
Formation enthalpy at 0 K ... 0.018 eV/atom



Record 7
The following is a DFT calculation (GGA-PBE) of LiTl6In after structural relaxation.

abc: 6.836 6.836 4.854
angles: 90.00 90.00 91.26
Fractional positions:
Li  0.000  0.000  0.000
Tl  0.000  0.500  0.000
Tl  0.231  0.231  0.500
Tl  0.257  0.743  0.500
Tl  0.500  0.000  0.000
Tl  0.743  0.257  0.500
Tl  0.769  0.769  0.500
In  0.500  0.500  0.000

Values from the calculation:
Total magnetization ... 0.0 Bohr magnetons per cell
Fermi-level density of states ... 2.6 states/eV per cell
Energy relative to the lowest polymorph listed for this composition ... 0 meV per atom
Formation enthalpy at 0 K ... -0.012 eV/atom



Record 8
The following is a DFT calculation (GGA-PBE) of LiTlIn4 after structural relaxation.

abc: 4.658 4.658 7.685
angles: 90.00 90.00 90.00
Fractional positions:
Li  0.000  0.000  0.000
Tl  0.500  0.500  0.500
In  0.000  0.500  0.214
In  0.000  0.500  0.786
In  0.500  0.000  0.214
In  0.500  0.000  0.786

Values from the calculation:
Total magnetization ... 0.0 Bohr magnetons per cell
Fermi-level density of states ... 2.4 states/eV per cell
Energy relative to the lowest polymorph listed for this composition ... 114 meV per atom
Formation enthalpy at 0 K ... 0.031 eV/atom



Record 9
The following is a DFT calculation (GGA-PBE) of LiTlIn2 after structural relaxation.

abc: 5.285 5.285 6.012
angles: 100.01 100.01 37.24
Fractional positions:
Li  0.000  0.000  0.000
Tl  0.747  0.747  0.230
In  0.258  0.258  0.764
In  0.504  0.504  0.516

Values from the calculation:
Total magnetization ... 0.0 Bohr magnetons per cell
Fermi-level density of states ... 1.4 states/eV per cell
Formation enthalpy at 0 K ... -0.093 eV/atom



Record 10
The following is a DFT calculation (GGA-PBE) of Li5TlIn after structural relaxation.

abc: 6.011 6.011 7.804
angles: 102.79 102.79 87.46
Fractional positions:
Li  0.078  0.922  0.750
Li  0.113  0.285  0.063
Li  0.285  0.113  0.563
Li  0.310  0.491  0.860
Li  0.491  0.310  0.360
Li  0.509  0.690  0.640
Li  0.690  0.509  0.140
Li  0.715  0.887  0.437
Li  0.887  0.715  0.937
Li  0.922  0.078  0.250
Tl  0.000  0.500  0.500
Tl  0.500  0.000  0.000
In  0.261  0.739  0.250
In  0.739  0.261  0.750

Values from the calculation:
Total magnetization ... 0.0 Bohr magnetons per cell
Fermi-level density of states ... 4.7 states/eV per cell
Energy relative to the lowest polymorph listed for this composition ... 87 meV per atom
Formation enthalpy at 0 K ... -0.163 eV/atom



Record 11
The following is a DFT calculation (GGA-PBE) of LiTl4In after structural relaxation.

abc: 6.421 6.421 6.421
angles: 60.00 60.00 60.00
Fractional positions:
Li  0.000  0.000  0.000
Tl  0.125  0.625  0.625
Tl  0.625  0.125  0.625
Tl  0.625  0.625  0.125
Tl  0.625  0.625  0.625
In  0.250  0.250  0.250

Values from the calculation:
Total magnetization ... 0.0 Bohr magnetons per cell
Fermi-level density of states ... 3.3 states/eV per cell
Energy relative to the lowest polymorph listed for this composition ... 166 meV per atom
Formation enthalpy at 0 K ... 0.101 eV/atom



Record 12
The following is a DFT calculation (GGA-PBE) of LiTl4In5 after structural relaxation.

abc: 4.059 4.059 16.783
angles: 90.00 90.00 90.00
Fractional positions:
Li  0.000  0.000  0.000
Tl  0.000  0.000  0.185
Tl  0.000  0.000  0.394
Tl  0.000  0.000  0.606
Tl  0.000  0.000  0.815
In  0.500  0.500  0.090
In  0.500  0.500  0.288
In  0.500  0.500  0.500
In  0.500  0.500  0.712
In  0.500  0.500  0.910

Values from the calculation:
Total magnetization ... 0.0 Bohr magnetons per cell
Fermi-level density of states ... 6.0 states/eV per cell
Formation enthalpy at 0 K ... 0.011 eV/atom



Record 13
The following is a DFT calculation (GGA-PBE) of Li4TlIn6 after structural relaxation.

abc: 7.587 7.587 7.587
angles: 123.25 123.25 84.46
Fractional positions:
Li  0.074  0.595  0.000
Li  0.405  0.405  0.478
Li  0.595  0.074  0.000
Li  0.926  0.926  0.522
Tl  0.500  0.500  0.000
In  0.000  0.500  0.500
In  0.047  0.047  0.308
In  0.261  0.953  0.000
In  0.500  0.000  0.500
In  0.739  0.739  0.692
In  0.953  0.261  0.000

Values from the calculation:
Total magnetization ... 0.0 Bohr magnetons per cell
Fermi-level density of states ... 3.1 states/eV per cell
Formation enthalpy at 0 K ... -0.051 eV/atom



Record 14
The following is a DFT calculation (GGA-PBE) of Li3TlIn4 after structural relaxation.

abc: 10.056 10.056 5.228
angles: 91.90 91.90 19.91
Fractional positions:
Li  0.000  0.000  0.000
Li  0.123  0.123  0.549
Li  0.877  0.877  0.451
Tl  0.500  0.500  0.500
In  0.250  0.250  0.257
In  0.380  0.380  0.954
In  0.620  0.620  0.046
In  0.750  0.750  0.743

Values from the calculation:
Total magnetization ... 0.0 Bohr magnetons per cell
Fermi-level density of states ... 2.5 states/eV per cell
Energy relative to the lowest polymorph listed for this composition ... 0 meV per atom
Formation enthalpy at 0 K ... -0.175 eV/atom



Record 15
The following is a DFT calculation (GGA-PBE) of LiTl2In2 after structural relaxation.

abc: 7.554 7.554 3.446
angles: 91.15 91.15 42.81
Fractional positions:
Li  0.000  0.000  0.000
Tl  0.382  0.382  0.004
Tl  0.618  0.618  0.996
In  0.179  0.179  0.503
In  0.821  0.821  0.497

Values from the calculation:
Total magnetization ... 0.0 Bohr magnetons per cell
Fermi-level density of states ... 1.6 states/eV per cell
Energy relative to the lowest polymorph listed for this composition ... 0 meV per atom
Formation enthalpy at 0 K ... -0.050 eV/atom



Record 16
The following is a DFT calculation (GGA-PBE) of LiTl6In3 after structural relaxation.

abc: 8.323 8.323 8.323
angles: 90.94 90.94 90.94
Fractional positions:
Li  0.000  0.000  0.000
Li  0.500  0.500  0.500
Tl  0.009  0.332  0.899
Tl  0.101  0.991  0.668
Tl  0.120  0.356  0.435
Tl  0.332  0.899  0.009
Tl  0.356  0.435  0.120
Tl  0.435  0.120  0.356
Tl  0.565  0.880  0.644
Tl  0.644  0.565  0.880
Tl  0.668  0.101  0.991
Tl  0.880  0.644  0.565
Tl  0.899  0.009  0.332
Tl  0.991  0.668  0.101
In  0.248  0.613  0.750
In  0.250  0.752  0.387
In  0.387  0.250  0.752
In  0.613  0.750  0.248
In  0.750  0.248  0.613
In  0.752  0.387  0.250

Values from the calculation:
Total magnetization ... 0.0 Bohr magnetons per cell
Fermi-level density of states ... 9.9 states/eV per cell
Energy relative to the lowest polymorph listed for this composition ... 15 meV per atom
Formation enthalpy at 0 K ... 0.000 eV/atom



Record 17
The following is a DFT calculation (GGA-PBE) of LiTl6In after structural relaxation.

abc: 5.869 5.869 7.550
angles: 103.81 103.81 86.75
Fractional positions:
Li  0.000  0.000  0.000
Tl  0.100  0.686  0.695
Tl  0.314  0.900  0.305
Tl  0.317  0.317  0.997
Tl  0.683  0.683  0.003
Tl  0.686  0.100  0.695
Tl  0.900  0.314  0.305
In  0.500  0.500  0.500

Values from the calculation:
Total magnetization ... 0.0 Bohr magnetons per cell
Fermi-level density of states ... 3.8 states/eV per cell
Energy relative to the lowest polymorph listed for this composition ... 87 meV per atom
Formation enthalpy at 0 K ... 0.075 eV/atom



Record 18
The following is a DFT calculation (GGA-PBE) of Li6TlIn12 after structural relaxation.

abc: 8.156 8.156 8.156
angles: 106.13 106.13 106.13
Fractional positions:
Li  0.077  0.319  0.355
Li  0.319  0.355  0.077
Li  0.355  0.077  0.319
Li  0.645  0.923  0.681
Li  0.681  0.645  0.923
Li  0.923  0.681  0.645
Tl  0.500  0.500  0.500
In  0.041  0.089  0.697
In  0.089  0.697  0.041
In  0.230  0.741  0.483
In  0.259  0.517  0.770
In  0.303  0.959  0.911
In  0.483  0.230  0.741
In  0.517  0.770  0.259
In  0.697  0.041  0.089
In  0.741  0.483  0.230
In  0.770  0.259  0.517
In  0.911  0.303  0.959
In  0.959  0.911  0.303

Values from the calculation:
Total magnetization ... 0.0 Bohr magnetons per cell
Fermi-level density of states ... 8.0 states/eV per cell
Energy relative to the lowest polymorph listed for this composition ... 43 meV per atom
Formation enthalpy at 0 K ... -0.087 eV/atom



Record 19
The following is a DFT calculation (GGA-PBE) of Li6Tl2In3 after structural relaxation.

abc: 7.448 3.157 9.707
angles: 90.00 93.66 90.00
Fractional positions:
Li  0.056  0.000  0.135
Li  0.199  0.000  0.664
Li  0.426  0.000  0.200
Li  0.574  0.000  0.800
Li  0.801  0.000  0.336
Li  0.944  0.000  0.865
Tl  0.284  0.500  0.939
Tl  0.716  0.500  0.061
In  0.142  0.500  0.384
In  0.500  0.000  0.500
In  0.858  0.500  0.616

Values from the calculation:
Total magnetization ... 0.0 Bohr magnetons per cell
Fermi-level density of states ... 2.6 states/eV per cell
Energy relative to the lowest polymorph listed for this composition ... 0 meV per atom
Formation enthalpy at 0 K ... -0.190 eV/atom



Record 20
The following is a DFT calculation (GGA-PBE) of Li5Tl12In2 after structural relaxation.

abc: 8.657 8.657 10.004
angles: 99.89 99.89 45.38
Fractional positions:
Li  0.000  0.000  0.000
Li  0.303  0.303  0.143
Li  0.359  0.359  0.632
Li  0.641  0.641  0.368
Li  0.697  0.697  0.857
Tl  0.044  0.560  0.373
Tl  0.094  0.094  0.316
Tl  0.102  0.585  0.924
Tl  0.415  0.898  0.076
Tl  0.440  0.956  0.627
Tl  0.485  0.485  0.175
Tl  0.515  0.515  0.825
Tl  0.560  0.044  0.373
Tl  0.585  0.102  0.924
Tl  0.898  0.415  0.076
Tl  0.906  0.906  0.684
Tl  0.956  0.440  0.627
In  0.272  0.728  0.500
In  0.728  0.272  0.500

Values from the calculation:
Total magnetization ... 0.0 Bohr magnetons per cell
Fermi-level density of states ... 7.2 states/eV per cell
Formation enthalpy at 0 K ... -0.019 eV/atom